(1)
A PBEsol-optimized structure of LiMnF4. Source: the Alexandria database, functional SCAN.

Unit cell a=6.194 b=6.194 c=13.255 alpha=90.00 beta=90.00 gamma=120.00
Fractional positions:
Li 0.000 0.825 0.000
Li 0.175 0.175 0.333
Li 0.192 0.674 0.534
Li 0.326 0.518 0.867
Li 0.482 0.808 0.201
Li 0.825 0.000 0.667
Mn 0.322 0.009 0.762
Mn 0.492 0.324 0.102
Mn 0.676 0.168 0.435
Mn 0.687 0.678 0.429
Mn 0.832 0.508 0.769
Mn 0.991 0.313 0.095
F 0.139 0.601 0.167
F 0.163 0.138 0.692
F 0.172 0.722 0.679
F 0.210 0.197 0.187
F 0.278 0.450 0.012
F 0.339 0.032 0.033
F 0.384 0.011 0.503
F 0.399 0.538 0.500
F 0.462 0.861 0.834
F 0.469 0.302 0.842
F 0.534 0.316 0.354
F 0.550 0.828 0.346
F 0.627 0.616 0.170
F 0.684 0.218 0.687
F 0.693 0.661 0.700
F 0.698 0.167 0.175
F 0.782 0.466 0.020
F 0.803 0.012 0.520
F 0.833 0.531 0.509
F 0.862 0.025 0.026
F 0.968 0.307 0.366
F 0.975 0.837 0.359
F 0.988 0.790 0.854
F 0.989 0.373 0.836

Total DFT energy (no corrections)   -52.171 eV per formula unit

---

(2)
A PBEsol-optimized structure of LiMnF4. Source: the Alexandria database, functional SCAN.

Unit cell a=4.554 b=9.660 c=7.566 alpha=90.00 beta=124.32 gamma=90.00
Fractional positions:
Li 0.192 0.220 0.225
Li 0.192 0.280 0.725
Li 0.808 0.720 0.275
Li 0.808 0.780 0.775
Mn 0.000 0.000 0.500
Mn 0.000 0.500 0.000
Mn 0.500 0.000 0.000
Mn 0.500 0.500 0.500
F 0.018 0.088 0.726
F 0.018 0.412 0.226
F 0.200 0.155 0.475
F 0.200 0.345 0.975
F 0.280 0.655 0.505
F 0.280 0.845 0.005
F 0.485 0.077 0.224
F 0.485 0.423 0.724
F 0.515 0.577 0.276
F 0.515 0.923 0.776
F 0.720 0.155 0.995
F 0.720 0.345 0.495
F 0.800 0.655 0.025
F 0.800 0.845 0.525
F 0.982 0.588 0.774
F 0.982 0.912 0.274

Total DFT energy (no corrections)   -52.337 eV per formula unit

---

(3)
A PBEsol-optimized structure of Li10Mn3F16. Source: the Alexandria database, functional SCAN.

Unit cell a=10.008 b=10.008 c=10.008 alpha=34.12 beta=34.12 gamma=34.12
Fractional positions:
Li 0.000 0.000 0.000
Li 0.000 0.000 0.500
Li 0.000 0.500 0.000
Li 0.245 0.751 0.751
Li 0.249 0.249 0.755
Li 0.249 0.755 0.249
Li 0.500 0.000 0.000
Li 0.751 0.245 0.751
Li 0.751 0.751 0.245
Li 0.755 0.249 0.249
Mn 0.310 0.310 0.310
Mn 0.500 0.500 0.500
Mn 0.690 0.690 0.690
F 0.106 0.106 0.655
F 0.106 0.655 0.106
F 0.127 0.127 0.127
F 0.139 0.621 0.621
F 0.345 0.894 0.894
F 0.379 0.379 0.861
F 0.379 0.861 0.379
F 0.381 0.381 0.381
F 0.619 0.619 0.619
F 0.621 0.139 0.621
F 0.621 0.621 0.139
F 0.655 0.106 0.106
F 0.861 0.379 0.379
F 0.873 0.873 0.873
F 0.894 0.345 0.894
F 0.894 0.894 0.345

Total DFT energy (no corrections)   -221.178 eV per formula unit

---

(4)
A PBEsol-optimized structure of Li3Mn2F7. Source: the Alexandria database, functional SCAN.

Unit cell a=5.979 b=5.979 c=9.696 alpha=99.30 beta=99.30 gamma=51.19
Fractional positions:
Li 0.000 0.500 0.500
Li 0.158 0.694 0.836
Li 0.306 0.842 0.664
Li 0.500 0.000 0.000
Li 0.694 0.158 0.336
Li 0.842 0.306 0.164
Mn 0.092 0.589 0.156
Mn 0.411 0.908 0.344
Mn 0.589 0.092 0.656
Mn 0.908 0.411 0.844
F 0.015 0.808 0.626
F 0.154 0.265 0.669
F 0.192 0.985 0.874
F 0.252 0.422 0.957
F 0.265 0.154 0.169
F 0.422 0.252 0.457
F 0.453 0.547 0.250
F 0.547 0.453 0.750
F 0.578 0.748 0.543
F 0.735 0.846 0.831
F 0.748 0.578 0.043
F 0.808 0.015 0.126
F 0.846 0.735 0.331
F 0.985 0.192 0.374

Total DFT energy (no corrections)   -104.084 eV per formula unit

---

(5)
A PBEsol-optimized structure of Li2MnF6. Source: the Alexandria database, functional SCAN.

Unit cell a=4.914 b=4.914 c=8.803 alpha=90.00 beta=90.00 gamma=120.00
Fractional positions:
Li 0.000 0.000 0.000
Li 0.000 0.000 0.500
Li 0.333 0.667 0.250
Li 0.667 0.333 0.750
Mn 0.333 0.667 0.750
Mn 0.667 0.333 0.250
F 0.027 0.363 0.866
F 0.027 0.664 0.634
F 0.336 0.363 0.634
F 0.336 0.973 0.866
F 0.363 0.027 0.366
F 0.363 0.336 0.134
F 0.637 0.664 0.866
F 0.637 0.973 0.634
F 0.664 0.027 0.134
F 0.664 0.637 0.366
F 0.973 0.336 0.366
F 0.973 0.637 0.134

Total DFT energy (no corrections)   -70.707 eV per formula unit
Distance to the lowest polymorph of the same formula   0.40 kcal/mol of atoms

---

(6)
A PBEsol-optimized structure of Li2MnF6. Source: the Alexandria database, functional SCAN.

Unit cell a=8.369 b=8.369 c=4.569 alpha=90.00 beta=90.00 gamma=120.00
Fractional positions:
Li 0.000 0.363 0.000
Li 0.000 0.699 0.500
Li 0.301 0.301 0.500
Li 0.363 0.000 0.000
Li 0.637 0.637 0.000
Li 0.699 0.000 0.500
Mn 0.000 0.000 0.000
Mn 0.333 0.667 0.491
Mn 0.667 0.333 0.509
F 0.097 0.207 0.222
F 0.110 0.903 0.222
F 0.128 0.578 0.267
F 0.207 0.097 0.778
F 0.223 0.460 0.715
F 0.237 0.777 0.715
F 0.422 0.549 0.267
F 0.451 0.872 0.267
F 0.460 0.223 0.285
F 0.540 0.763 0.715
F 0.549 0.422 0.733
F 0.578 0.128 0.733
F 0.763 0.540 0.285
F 0.777 0.237 0.285
F 0.793 0.890 0.222
F 0.872 0.451 0.733
F 0.890 0.793 0.778
F 0.903 0.110 0.778

Total DFT energy (no corrections)   -70.839 eV per formula unit
Distance to the lowest polymorph of the same formula   0.06 kcal/mol of atoms

---

(7)
A PBEsol-optimized structure of Li2MnF6. Source: the Alexandria database, functional SCAN.

Unit cell a=4.819 b=4.819 c=4.329 alpha=90.00 beta=90.00 gamma=120.00
Fractional positions:
Li 0.333 0.667 0.000
Li 0.667 0.333 0.000
Mn 0.000 0.000 0.500
F 0.000 0.309 0.741
F 0.000 0.691 0.259
F 0.309 0.000 0.741
F 0.309 0.309 0.259
F 0.691 0.000 0.259
F 0.691 0.691 0.741

Total DFT energy (no corrections)   -70.719 eV per formula unit
Distance to the lowest polymorph of the same formula   0.36 kcal/mol of atoms

---

(8)
A PBEsol-optimized structure of Li3MnF5. Source: the Alexandria database, functional SCAN.

Unit cell a=5.363 b=6.173 c=6.210 alpha=70.86 beta=70.11 gamma=87.97
Fractional positions:
Li 0.013 0.226 0.301
Li 0.191 0.394 0.626
Li 0.191 0.926 0.080
Li 0.809 0.074 0.920
Li 0.809 0.606 0.374
Li 0.987 0.774 0.699
Mn 0.500 0.000 0.500
Mn 0.500 0.500 0.000
F 0.103 0.101 0.606
F 0.108 0.236 0.971
F 0.186 0.514 0.276
F 0.344 0.670 0.602
F 0.491 0.130 0.144
F 0.509 0.870 0.856
F 0.656 0.330 0.398
F 0.814 0.486 0.724
F 0.892 0.764 0.029
F 0.897 0.899 0.394

Total DFT energy (no corrections)   -69.851 eV per formula unit

---

(9)
A PBEsol-optimized structure of Li2MnF4. Source: the Alexandria database, functional SCAN.

Unit cell a=5.664 b=10.259 c=4.953 alpha=90.00 beta=90.00 gamma=90.00
Fractional positions:
Li 0.000 0.000 0.000
Li 0.000 0.500 0.000
Li 0.250 0.022 0.487
Li 0.250 0.478 0.487
Li 0.500 0.000 0.000
Li 0.500 0.500 0.000
Li 0.750 0.522 0.513
Li 0.750 0.978 0.513
Mn 0.250 0.250 0.862
Mn 0.250 0.750 0.533
Mn 0.750 0.250 0.467
Mn 0.750 0.750 0.138
F 0.000 0.121 0.668
F 0.000 0.379 0.668
F 0.000 0.621 0.332
F 0.000 0.879 0.332
F 0.250 0.107 0.149
F 0.250 0.393 0.149
F 0.250 0.599 0.800
F 0.250 0.901 0.800
F 0.500 0.121 0.668
F 0.500 0.379 0.668
F 0.500 0.621 0.332
F 0.500 0.879 0.332
F 0.750 0.099 0.200
F 0.750 0.401 0.200
F 0.750 0.607 0.851
F 0.750 0.893 0.851

Total DFT energy (no corrections)   -58.179 eV per formula unit
Distance to the lowest polymorph of the same formula   0.22 kcal/mol of atoms

---

(10)
A PBEsol-optimized structure of Li2MnF6. Source: the Alexandria database, functional SCAN.

Unit cell a=8.486 b=8.486 c=4.368 alpha=90.00 beta=90.00 gamma=120.00
Fractional positions:
Li 0.000 0.342 0.000
Li 0.000 0.658 0.000
Li 0.342 0.000 0.000
Li 0.342 0.342 0.000
Li 0.658 0.000 0.000
Li 0.658 0.658 0.000
Mn 0.000 0.000 0.000
Mn 0.333 0.667 0.508
Mn 0.667 0.333 0.492
F 0.105 0.210 0.781
F 0.105 0.895 0.781
F 0.130 0.565 0.748
F 0.210 0.105 0.219
F 0.232 0.464 0.271
F 0.232 0.768 0.271
F 0.435 0.565 0.748
F 0.435 0.870 0.748
F 0.464 0.232 0.729
F 0.536 0.768 0.271
F 0.565 0.130 0.252
F 0.565 0.435 0.252
F 0.768 0.232 0.729
F 0.768 0.536 0.729
F 0.790 0.895 0.781
F 0.870 0.435 0.252
F 0.895 0.105 0.219
F 0.895 0.790 0.219

Total DFT energy (no corrections)   -70.565 eV per formula unit
Distance to the lowest polymorph of the same formula   0.76 kcal/mol of atoms

---

(11)
A PBEsol-optimized structure of LiMnF4. Source: the Alexandria database, functional SCAN.

Unit cell a=10.757 b=5.635 c=4.874 alpha=90.00 beta=90.00 gamma=90.00
Fractional positions:
Li 0.072 0.250 0.119
Li 0.428 0.750 0.619
Li 0.572 0.250 0.381
Li 0.928 0.750 0.881
Mn 0.243 0.750 0.065
Mn 0.257 0.250 0.565
Mn 0.743 0.750 0.435
Mn 0.757 0.250 0.935
F 0.097 0.750 0.880
F 0.112 0.250 0.750
F 0.182 0.018 0.292
F 0.182 0.482 0.292
F 0.318 0.518 0.792
F 0.318 0.982 0.792
F 0.388 0.750 0.250
F 0.403 0.250 0.380
F 0.597 0.750 0.620
F 0.612 0.250 0.750
F 0.682 0.018 0.208
F 0.682 0.482 0.208
F 0.818 0.518 0.708
F 0.818 0.982 0.708
F 0.888 0.750 0.250
F 0.903 0.250 0.120

Total DFT energy (no corrections)   -52.294 eV per formula unit

---

(12)
A PBEsol-optimized structure of Li3Mn5F15. Source: the Alexandria database, functional SCAN.

Unit cell a=12.778 b=12.778 c=3.894 alpha=90.00 beta=90.00 gamma=90.00
Fractional positions:
Li 0.000 0.000 0.000
Li 0.164 0.336 0.983
Li 0.336 0.836 0.983
Li 0.500 0.500 0.000
Li 0.664 0.164 0.983
Li 0.836 0.664 0.983
Mn 0.000 0.500 0.980
Mn 0.079 0.787 0.981
Mn 0.213 0.079 0.981
Mn 0.287 0.579 0.981
Mn 0.421 0.287 0.981
Mn 0.500 0.000 0.980
Mn 0.579 0.713 0.981
Mn 0.713 0.421 0.981
Mn 0.787 0.921 0.981
Mn 0.921 0.213 0.981
F 0.000 0.500 0.480
F 0.016 0.340 0.981
F 0.065 0.132 0.983
F 0.080 0.785 0.481
F 0.132 0.935 0.983
F 0.160 0.484 0.981
F 0.215 0.080 0.481
F 0.234 0.734 0.981
F 0.266 0.234 0.981
F 0.285 0.580 0.481
F 0.340 0.984 0.981
F 0.368 0.435 0.983
F 0.420 0.285 0.481
F 0.435 0.632 0.983
F 0.484 0.840 0.981
F 0.500 0.000 0.480
F 0.516 0.160 0.981
F 0.565 0.368 0.983
F 0.580 0.715 0.481
F 0.632 0.565 0.983
F 0.660 0.016 0.981
F 0.715 0.420 0.481
F 0.734 0.766 0.981
F 0.766 0.266 0.981
F 0.785 0.920 0.481
F 0.840 0.516 0.981
F 0.868 0.065 0.983
F 0.920 0.215 0.481
F 0.935 0.868 0.983
F 0.984 0.660 0.981

Total DFT energy (no corrections)   -217.958 eV per formula unit

---

| no. | theoretical density (g/cm3) |
| --- | --- |
| 1 | 3.12 |
| 2 | 3.33 |
| 3 | 3.18 |
| 4 | 3.30 |
| 5 | 3.30 |
| 6 | 3.29 |
| 7 | 3.49 |
| 8 | 3.12 |
| 9 | 3.34 |
| 10 | 3.34 |
| 11 | 3.10 |
| 12 | 3.03 |